GGA-PBE HoGeTe2, relaxed; energy relative to the elements, uncorrected = -55 kJ per mole of atoms
1.0
4.399 0.000 0.000
2.199 3.809 0.000
2.199 1.270 6.918
Ge Te Ho
1 2 1
direct
0.000 0.000 0.000
0.254 0.254 0.239
0.746 0.746 0.761
0.500 0.500 0.500